Entry 1:
ScBrCl2 | GGA-PBEsol | optimized geometry

Properties
The calculation puts the calculated density at 2.940 g/cm3. The formation energy without anion corrections comes out at -1901 meV per atom. For the polymorph energy (0 for the lowest one), the calculation gives 0.000 eV/atom.

Cell lengths 6.202, 6.202, 6.430 Å; angles 119.73, 119.73, 31.44 degrees
Atoms (fractional coordinates):
Sc 0.000 0.000 0.000
Br 0.671 0.671 0.327
Cl 0.344 0.344 0.995
Cl 0.506 0.506 0.719



Entry 2:
ScSeBr2Cl | GGA-PBEsol | optimized geometry

Properties
The calculation puts the calculated density at 3.872 g/cm3. The formation energy without anion corrections comes out at -706 meV per atom.

Cell lengths 5.039, 5.039, 5.391 Å; angles 90.00, 90.00, 90.00 degrees
Atoms (fractional coordinates):
Sc 0.000 0.000 0.000
Se 0.000 0.000 0.500
Br 0.000 0.500 0.000
Br 0.500 0.000 0.000
Cl 0.500 0.500 0.500



Entry 3:
SeBrCl | GGA-PBEsol | optimized geometry

Properties
The calculation puts the calculated density at 4.202 g/cm3. The formation energy without anion corrections comes out at 747 meV per atom. For the polymorph energy (0 for the lowest one), the calculation gives 0.815 eV/atom.

Cell lengths 4.771, 4.771, 4.771 Å; angles 60.00, 60.00, 60.00 degrees
Atoms (fractional coordinates):
Se 0.000 0.000 0.000
Br 0.250 0.250 0.250
Cl 0.500 0.500 0.500



Entry 4:
SeBr2Cl | GGA-PBEsol | optimized geometry

Properties
The calculation puts the calculated density at 4.918 g/cm3. The formation energy without anion corrections comes out at 441 meV per atom. For the polymorph energy (0 for the lowest one), the calculation gives 0.223 eV/atom.

Cell lengths 3.149, 3.149, 9.335 Å; angles 90.00, 90.00, 90.00 degrees
Atoms (fractional coordinates):
Se 0.000 0.000 0.000
Br 0.000 0.000 0.496
Br 0.500 0.500 0.193
Cl 0.500 0.500 0.814



no.,DOS(E_F) (states/eV/f.u.),total DFT energy (no corrections) (eV per atom)
1,0.000,-5.0233
2,4.656,-3.9465
3,3.256,-1.8295
4,2.618,-1.9585